Record 1
Ba2TlH, relaxed, DFT PBE; uncorrected energy = -10.7 eV per formula unit; density = 5.61 g/cm3; space-group type = I-42d
1.0
8.056 0.000 0.000
0.000 8.056 0.000
4.028 4.028 4.382
Ba H Tl
4 2 2
direct
0.375 0.468 0.750
0.875 0.782 0.750
0.532 0.125 0.250
0.218 0.625 0.250
0.250 0.750 0.500
0.500 0.500 0.000
0.750 0.250 0.500
0.000 0.000 0.000



Record 2
InMoBr3, relaxed, DFT PBE; ΔE_f (raw) = -0.198 eV/atom; density = 4.69 g/cm3; space-group type = Pm-3m
1.0
-2.438 -0.262 4.838
2.565 -4.665 1.039
4.111 2.755 2.220
Br Mo In
3 1 1
direct
0.500 0.000 0.000
0.000 0.000 0.500
0.000 0.500 0.000
0.000 0.000 0.000
0.500 0.500 0.500



Respective total magnetization values: 0.000 0.800 μB/atom.
Respective volume values: 284.4 159.5 Å³ per cell.